Entry 1:
Material: Pr2ErTmBi4
Method: DFT, PBE
State: optimized geometry

Calculated values
The energy of formation from the pure elements is -0.8733 eV per atom. The density of states at the Fermi level is 1.240 states/eV per cell.

Lattice parameters (Å, degrees): 7.854 4.550 7.875 90.00 109.52 90.00
Fractional coordinates of all 8 atoms:
Pr: 0.000 0.000 0.000
Pr: 0.000 0.500 0.500
Er: 0.500 0.000 0.500
Tm: 0.500 0.500 0.000
Bi: 0.263 0.500 0.254
Bi: 0.264 0.000 0.755
Bi: 0.736 0.000 0.245
Bi: 0.737 0.500 0.746

Entry 2:
Material: PmMgGaIr
Method: DFT, PBE
State: optimized geometry

Calculated values
The energy of formation from the pure elements is -0.4093 eV per atom. The density of states at the Fermi level is 2.674 states/eV per cell.

Lattice parameters (Å, degrees): 4.842 4.842 4.842 60.00 60.00 60.00
Fractional coordinates of all 4 atoms:
Pm: 0.000 0.000 0.000
Mg: 0.500 0.500 0.500
Ga: 0.250 0.250 0.250
Ir: 0.750 0.750 0.750

Entry 3:
Material: MgTl4Si
Method: DFT, PBE
State: optimized geometry

Calculated values
The density of states at the Fermi level is 2.818 states/eV per cell. The uncorrected formation energy comes out at 0.47 eV/atom.

Lattice parameters (Å, degrees): 6.317 6.317 6.317 60.00 60.00 60.00
Fractional coordinates of all 6 atoms:
Mg: 0.000 0.000 0.000
Tl: 0.375 0.375 0.375
Tl: 0.375 0.375 0.874
Tl: 0.375 0.874 0.375
Tl: 0.874 0.375 0.375
Si: 0.750 0.750 0.750